A plane-wave DFT calculation with PBE with a Hubbard U was carried out for a relaxed structure of Na3Mn2GeO6.

Unit cell a=5.1671 b=5.1671 c=5.6442 alpha=99.33 beta=99.33 gamma=118.28
Last column: magnetic moment on the atom in μB.
Atoms (fractional coordinates):
Na (0.1716, 0.8284, 0.5000)  0.00
Na (0.8284, 0.1716, 0.5000)  0.00
Na (0.5000, 0.5000, 0.5000)  0.00
Mn (0.3379, 0.6621, 0.0000)  1.52
Mn (0.6621, 0.3379, 0.0000)  1.52
Ge (0.0000, 0.0000, 0.0000)  0.00
O (0.9403, 0.6198, 0.8043)  -0.02
O (0.7510, 0.7510, 0.1994)  -0.01
O (0.0597, 0.3802, 0.1957)  -0.02
O (0.6198, 0.9403, 0.8043)  -0.02
O (0.2490, 0.2490, 0.8006)  -0.01
O (0.3802, 0.0597, 0.1957)  -0.02

## Properties
As for the final energy: -69.69 eV/cell. For the volume, the calculation gives 10.49 Å³ per atom. The calculation puts the mass density at 4.58 g/cm3.